The following is a GGA-PBE calculation of a relaxed ZnH12SeO10 crystal, from Alexandria.

a b c (Å): 6.985 6.985 18.894
angles (deg): 90.00 90.00 90.00
Space group P4_12_12 (No. 92)
One atom of each set of equivalent atoms:
Zn 0.219 0.219 0.000
H 0.005 0.714 0.617
H 0.008 0.479 0.069
H 0.037 0.117 0.690
H 0.071 0.738 0.406
H 0.077 0.341 0.707
H 0.093 0.861 0.040
Se 0.216 0.784 0.750
O 0.021 0.753 0.194
O 0.039 0.811 0.449
O 0.047 0.323 0.508
O 0.082 0.369 0.089
O 0.107 0.872 0.678

Results
- total energy (eV per atom) = -4.96